Sr3Mg: single point on PBEsol structure, meta-GGA SCAN.

The structure in CIF format:
```
data_Sr3Mg
_chemical_formula_sum 'Sr6 Mg2'
_cell_length_a 6.381
_cell_length_b 7.815
_cell_length_c 6.849
_cell_angle_alpha 90.00
_cell_angle_beta 90.00
_cell_angle_gamma 90.00
_symmetry_space_group_name_H-M 'P 1'
_symmetry_Int_Tables_number 1
_symmetry_space_group_name_Hall 'P 1'
loop_
_atom_site_label
_atom_site_fract_x
_atom_site_fract_y
_atom_site_fract_z
_atom_site_occupancy
Sr1 0.250 0.002 0.164 1
Sr2 0.250 0.498 0.164 1
Sr3 0.250 0.750 0.642 1
Sr4 0.750 0.250 0.358 1
Sr5 0.750 0.502 0.836 1
Sr6 0.750 0.998 0.836 1
Mg1 0.250 0.250 0.681 1
Mg2 0.750 0.750 0.319 1
```

Computed properties:
**Total magnetic moment**: 0.111 μB per formula unit
**Space-group type**: Pmmn (59)
**D(E_F)**: 3.84 states/eV/f.u.
**Electronic total energy**: -143.27 eV per cell